No. 1
DFT (PBE) results for a geometry-optimized PrHoAlAg structure.

M_tot in μB/f.u.: 0.0
Calculated density in g cm⁻³: 7.3
Distance to the lowest polymorph of the same formula in eV/atom: 0.0000
Formation enthalpy at 0 K in eV/atom: -0.34
Symmetry: P4mm (99)

Unit cell a=3.6111 b=3.6111 c=7.6984 alpha=90.00 beta=90.00 gamma=90.00
With the nearest neighbours (Å) after each atom.
Atoms (fractional coordinates):
Pr  0.0000  0.0000  0.0000  4 Al 3.25, 4 Ag 3.38, 4 Pr 3.61
Ho  0.0000  0.0000  0.5048  4 Ag 3.05, 4 Al 3.13
Al  0.5000  0.5000  0.7398  4 Ho 3.13, 4 Pr 3.25, 1 Ag 3.48
Ag  0.5000  0.5000  0.2883  4 Ho 3.05, 4 Pr 3.38

---

No. 2
DFT (PBE) results for a geometry-optimized PrHoAlAg structure.

M_tot in μB/f.u.: 0.0
Calculated density in g cm⁻³: 7.1
Distance to the lowest polymorph of the same formula in eV/atom: 0.0414
Formation enthalpy at 0 K in eV/atom: -0.30
Symmetry: F-43m (216)

Unit cell a=7.4283 b=7.4283 c=7.4283 alpha=90.00 beta=90.00 gamma=90.00
With the nearest neighbours (Å) after each atom.
Atoms (fractional coordinates):
Pr  0.0000  0.0000  0.0000  4 Al 3.22, 4 Ag 3.22
Pr  0.0000  0.5000  0.5000  4 Al 3.22, 4 Ag 3.22
Pr  0.5000  0.0000  0.5000  4 Al 3.22, 4 Ag 3.22
Pr  0.5000  0.5000  0.0000  4 Al 3.22, 4 Ag 3.22
Ho  0.0000  0.0000  0.5000  4 Ag 3.22, 4 Al 3.22
Ho  0.0000  0.5000  0.0000  4 Ag 3.22, 4 Al 3.22
Ho  0.5000  0.0000  0.0000  4 Ag 3.22, 4 Al 3.22
Ho  0.5000  0.5000  0.5000  4 Ag 3.22, 4 Al 3.22
Al  0.2500  0.2500  0.2500  4 Ho 3.22, 4 Pr 3.22
Al  0.2500  0.7500  0.7500  4 Ho 3.22, 4 Pr 3.22
Al  0.7500  0.2500  0.7500  4 Ho 3.22, 4 Pr 3.22
Al  0.7500  0.7500  0.2500  4 Ho 3.22, 4 Pr 3.22
Ag  0.2500  0.2500  0.7500  4 Pr 3.22, 4 Ho 3.22
Ag  0.2500  0.7500  0.2500  4 Pr 3.22, 4 Ho 3.22
Ag  0.7500  0.2500  0.2500  4 Pr 3.22, 4 Ho 3.22
Ag  0.7500  0.7500  0.7500  4 Pr 3.22, 4 Ho 3.22

---

No. 3
DFT (PBE) results for a geometry-optimized HoAlAgPt structure.

M_tot in μB/f.u.: 0.0
Calculated density in g cm⁻³: 10.9
Formation enthalpy at 0 K in eV/atom: -0.70
Symmetry: F-43m (216)

Unit cell a=6.7031 b=6.7031 c=6.7031 alpha=90.00 beta=90.00 gamma=90.00
With the nearest neighbours (Å) after each atom.
Atoms (fractional coordinates):
Ho  0.0000  0.0000  0.0000  4 Pt 2.90, 4 Ag 2.90
Ho  0.0000  0.5000  0.5000  4 Pt 2.90, 4 Ag 2.90
Ho  0.5000  0.0000  0.5000  4 Pt 2.90, 4 Ag 2.90
Ho  0.5000  0.5000  0.0000  4 Pt 2.90, 4 Ag 2.90
Al  0.0000  0.0000  0.5000  4 Ag 2.90, 4 Pt 2.90
Al  0.0000  0.5000  0.0000  4 Pt 2.90, 4 Ag 2.90
Al  0.5000  0.0000  0.0000  4 Pt 2.90, 4 Ag 2.90
Al  0.5000  0.5000  0.5000  4 Pt 2.90, 4 Ag 2.90
Ag  0.2500  0.2500  0.2500  4 Ho 2.90, 4 Al 2.90
Ag  0.2500  0.7500  0.7500  4 Ho 2.90, 4 Al 2.90
Ag  0.7500  0.2500  0.7500  4 Ho 2.90, 4 Al 2.90
Ag  0.7500  0.7500  0.2500  4 Ho 2.90, 4 Al 2.90
Pt  0.2500  0.2500  0.7500  4 Ho 2.90, 4 Al 2.90
Pt  0.2500  0.7500  0.2500  4 Ho 2.90, 4 Al 2.90
Pt  0.7500  0.2500  0.2500  4 Ho 2.90, 4 Al 2.90
Pt  0.7500  0.7500  0.7500  4 Ho 2.90, 4 Al 2.90

---

No. 4
DFT (PBE) results for a geometry-optimized Ho2Al4AgPt3 structure.

M_tot in μB/f.u.: 0.0
Calculated density in g cm⁻³: 10.0
Formation enthalpy at 0 K in eV/atom: -0.94
Symmetry: P-4m2 (115)

Unit cell a=4.1754 b=4.1754 c=10.7833 alpha=90.00 beta=90.00 gamma=90.00
With the nearest neighbours (Å) after each atom.
Atoms (fractional coordinates):
Ho  0.0000  0.5000  0.2409  6 Pt 3.16-3.49, 8 Al 3.24-3.33, 2 Ag 3.49
Ho  0.5000  0.0000  0.7591  6 Pt 3.16-3.49, 8 Al 3.24-3.33, 2 Ag 3.49
Al  0.0000  0.0000  0.0000  4 Pt 2.55
Al  0.0000  0.5000  0.6361  3 Pt 2.46-2.55, 2 Ag 2.55
Al  0.5000  0.0000  0.3639  3 Pt 2.46-2.55, 2 Ag 2.55
Al  0.5000  0.5000  0.0000  4 Pt 2.55
Ag  0.0000  0.0000  0.5000  4 Al 2.55
Pt  0.0000  0.5000  0.8643  5 Al 2.46-2.55
Pt  0.5000  0.0000  0.1357  5 Al 2.46-2.55
Pt  0.5000  0.5000  0.5000  4 Al 2.55

---

No. 5
DFT (PBE) results for a geometry-optimized HoPuAlAg structure.

M_tot in μB/f.u.: 5.8
Calculated density in g cm⁻³: 9.4
Formation enthalpy at 0 K in eV/atom: -0.12
Symmetry: F-43m (216)

Unit cell a=7.2794 b=7.2794 c=7.2794 alpha=90.00 beta=90.00 gamma=90.00
With the nearest neighbours (Å) after each atom.
Atoms (fractional coordinates):
Ho  0.0000  0.0000  0.0000  4 Al 3.15, 4 Ag 3.15
Ho  0.0000  0.5000  0.5000  4 Al 3.15, 4 Ag 3.15
Ho  0.5000  0.0000  0.5000  4 Al 3.15, 4 Ag 3.15
Ho  0.5000  0.5000  0.0000  4 Al 3.15, 4 Ag 3.15
Pu  0.0000  0.0000  0.5000  4 Al 3.15, 4 Ag 3.15
Pu  0.0000  0.5000  0.0000  4 Al 3.15, 4 Ag 3.15
Pu  0.5000  0.0000  0.0000  4 Al 3.15, 4 Ag 3.15
Pu  0.5000  0.5000  0.5000  4 Al 3.15, 4 Ag 3.15
Al  0.2500  0.2500  0.7500  4 Ho 3.15, 4 Pu 3.15
Al  0.2500  0.7500  0.2500  4 Ho 3.15, 4 Pu 3.15
Al  0.7500  0.2500  0.2500  4 Ho 3.15, 4 Pu 3.15
Al  0.7500  0.7500  0.7500  4 Ho 3.15, 4 Pu 3.15
Ag  0.2500  0.2500  0.2500  4 Ho 3.15, 4 Pu 3.15
Ag  0.2500  0.7500  0.7500  4 Ho 3.15, 4 Pu 3.15
Ag  0.7500  0.2500  0.7500  4 Ho 3.15, 4 Pu 3.15
Ag  0.7500  0.7500  0.2500  4 Ho 3.15, 4 Pu 3.15

---

No. 6
DFT (PBE) results for a geometry-optimized Ho2Al5AgRu2 structure.

M_tot in μB/f.u.: 0.0
Calculated density in g cm⁻³: 7.0
Formation enthalpy at 0 K in eV/atom: -0.41
Symmetry: P4/mbm (127)

Unit cell a=9.5488 b=9.5488 c=4.0524 alpha=90.00 beta=90.00 gamma=90.00
With the nearest neighbours (Å) after each atom.
Atoms (fractional coordinates):
Ho  0.1806  0.3194  0.0000  3 Ru 2.77-2.89
Ho  0.3194  0.8194  0.0000  3 Ru 2.77-2.89
Ho  0.6806  0.1806  0.0000  3 Ru 2.77-2.89
Ho  0.8194  0.6806  0.0000  3 Ru 2.77-2.89
Al  0.0000  0.5000  0.5000  4 Ru 2.55, 4 Al 2.82
Al  0.0627  0.7882  0.5000  2 Ru 2.67, 3 Al 2.82-2.98, 2 Ag 2.92
Al  0.2118  0.0627  0.5000  2 Ru 2.67, 3 Al 2.82-2.98, 2 Ag 2.92
Al  0.2882  0.5627  0.5000  2 Ru 2.67, 3 Al 2.82-2.98, 2 Ag 2.92
Al  0.4373  0.2882  0.5000  2 Ru 2.67, 3 Al 2.82-2.98, 2 Ag 2.92
Al  0.5000  0.0000  0.5000  4 Ru 2.55, 4 Al 2.82
Al  0.5627  0.7118  0.5000  2 Ru 2.67, 3 Al 2.82-2.98, 2 Ag 2.92
Al  0.7118  0.4373  0.5000  2 Ru 2.67, 3 Al 2.82-2.98, 2 Ag 2.92
Al  0.7882  0.9373  0.5000  2 Ru 2.67, 3 Al 2.82-2.98, 2 Ag 2.92
Al  0.9373  0.2118  0.5000  2 Ru 2.67, 3 Al 2.82-2.98, 2 Ag 2.92
Ag  0.0000  0.0000  0.0000  8 Al 2.92
Ag  0.5000  0.5000  0.0000  8 Al 2.92
Ru  0.1142  0.6142  0.0000  6 Al 2.55-2.67, 1 Ho 2.77
Ru  0.3858  0.1142  0.0000  6 Al 2.55-2.67, 1 Ho 2.77
Ru  0.6142  0.8858  0.0000  6 Al 2.55-2.67, 1 Ho 2.77
Ru  0.8858  0.3858  0.0000  6 Al 2.55-2.67, 1 Ho 2.77

---

No. 7
DFT (PBE) results for a geometry-optimized HoScAlAg structure.

M_tot in μB/f.u.: 0.0
Calculated density in g cm⁻³: 6.5
Distance to the lowest polymorph of the same formula in eV/atom: 0.0230
Formation enthalpy at 0 K in eV/atom: -0.34
Symmetry: F-43m (216)

Unit cell a=7.0627 b=7.0627 c=7.0627 alpha=90.00 beta=90.00 gamma=90.00
With the nearest neighbours (Å) after each atom.
Atoms (fractional coordinates):
Ho  0.0000  0.0000  0.0000  4 Al 3.06, 4 Ag 3.06
Ho  0.0000  0.5000  0.5000  4 Al 3.06, 4 Ag 3.06
Ho  0.5000  0.0000  0.5000  4 Al 3.06, 4 Ag 3.06
Ho  0.5000  0.5000  0.0000  4 Al 3.06, 4 Ag 3.06
Sc  0.0000  0.0000  0.5000  4 Al 3.06, 4 Ag 3.06
Sc  0.0000  0.5000  0.0000  4 Al 3.06, 4 Ag 3.06
Sc  0.5000  0.0000  0.0000  4 Al 3.06, 4 Ag 3.06
Sc  0.5000  0.5000  0.5000  4 Al 3.06, 4 Ag 3.06
Al  0.2500  0.2500  0.2500  4 Ho 3.06, 4 Sc 3.06
Al  0.2500  0.7500  0.7500  4 Ho 3.06, 4 Sc 3.06
Al  0.7500  0.2500  0.7500  4 Ho 3.06, 4 Sc 3.06
Al  0.7500  0.7500  0.2500  4 Ho 3.06, 4 Sc 3.06
Ag  0.2500  0.2500  0.7500  4 Ho 3.06, 4 Sc 3.06
Ag  0.2500  0.7500  0.2500  4 Ho 3.06, 4 Sc 3.06
Ag  0.7500  0.2500  0.2500  4 Ho 3.06, 4 Sc 3.06
Ag  0.7500  0.7500  0.7500  4 Ho 3.06, 4 Sc 3.06

---

No. 8
DFT (PBE) results for a geometry-optimized HoScAlAg structure.

M_tot in μB/f.u.: 0.0
Calculated density in g cm⁻³: 6.6
Distance to the lowest polymorph of the same formula in eV/atom: 0.0000
Formation enthalpy at 0 K in eV/atom: -0.36
Symmetry: P4mm (99)

Unit cell a=3.4519 b=3.4519 c=7.2722 alpha=90.00 beta=90.00 gamma=90.00
With the nearest neighbours (Å) after each atom.
Atoms (fractional coordinates):
Ho  0.0000  0.0000  0.0000  4 Al 3.12, 4 Ag 3.16, 4 Ho 3.45
Sc  0.0000  0.0000  0.4987  4 Ag 2.93, 4 Al 2.97
Al  0.5000  0.5000  0.7321  4 Sc 2.97, 4 Ho 3.12, 1 Ag 3.31
Ag  0.5000  0.5000  0.2767  4 Sc 2.93, 4 Ho 3.16

---

What is the formation enthalpy at 0 K in the fourth record? -0.94 eV/atom